K2CdW3O12, relaxed, DFT GGA+U; total magnetization = 0.117 μB/atom; VASP energy = -6.38 eV per atom
1.0
3.754 2.167 6.125
-3.754 2.167 6.125
0.000 -4.334 6.125
K Cd W O
2 1 3 12
direct
0.145 0.145 0.145
0.855 0.855 0.855
0.500 0.500 0.500
0.000 0.500 0.500
0.500 0.000 0.500
0.500 0.500 0.000
0.139 0.585 0.585
0.201 0.201 0.567
0.201 0.567 0.201
0.415 0.415 0.861
0.415 0.861 0.415
0.433 0.799 0.799
0.567 0.201 0.201
0.585 0.139 0.585
0.585 0.585 0.139
0.799 0.433 0.799
0.799 0.799 0.433
0.861 0.415 0.415